#P
An optimized crystal structure of VRePO2, computed with GGA+U.

```
VRePO2
1.0
3.782 0.000 0.000
0.000 3.782 0.000
0.000 0.000 5.268
V Re P O
1 1 1 2
Direct
0.000 0.000 0.000
0.500 0.500 0.500
0.500 0.500 0.000
0.000 0.500 0.500
0.500 0.000 0.500
```

calculated density = 6614 kg/m3
total moment = 0.630 μB/atom


#Q
An optimized crystal structure of VRePO2, computed with GGA+U.

```
VRePO2
1.0
3.649 0.000 0.000
0.000 3.649 0.000
0.000 0.000 5.498
V Re P O
1 1 1 2
Direct
0.000 0.000 0.000
0.500 0.500 0.500
0.000 0.000 0.500
0.000 0.500 0.000
0.500 0.000 0.000
```

calculated density = 6809 kg/m3
total moment = 0.902 μB/atom


Which one is most stable, and which one is least stable? #P is the most stable of them, while #Q is the least stable.


#P
An optimized crystal structure of RePWO2, computed with GGA+U.

```
RePWO2
1.0
3.804 0.000 0.000
0.000 3.804 0.000
0.000 0.000 5.566
Re P W O
1 1 1 2
Direct
0.000 0.000 0.000
0.500 0.500 0.000
0.500 0.500 0.500
0.000 0.500 0.500
0.500 0.000 0.500
```

calculated density = 8929 kg/m3
total moment = 0.963 μB/atom


#Q
An optimized crystal structure of RePWO2, computed with GGA+U.

```
RePWO2
1.0
3.765 0.000 0.000
0.000 3.765 0.000
0.000 0.000 5.487
Re P W O
1 1 1 2
Direct
0.000 0.000 0.000
0.000 0.000 0.500
0.500 0.500 0.500
0.000 0.500 0.000
0.500 0.000 0.000
```

calculated density = 9244 kg/m3
total moment = 0.697 μB/atom


Which one is most stable, and which one is least stable? #Q is the most stable of them, while #P is the least stable.